1.
The following is a PBE calculation of an optimized crystal structure of Cs3Na2PuCl9, from Alexandria.

```
data_Cs3Na2PuCl9
_chemical_formula_sum 'Cs3 Na2 Pu1 Cl9'
_symmetry_space_group_name_H-M 'P -3 m 1'
_symmetry_Int_Tables_number 164
_symmetry_space_group_name_Hall '-P 3 2"'
_cell_length_a 7.7853
_cell_length_b 7.7853
_cell_length_c 9.6652
_cell_angle_alpha 90.00
_cell_angle_beta 90.00
_cell_angle_gamma 120.00
loop_
_atom_site_label
_atom_site_type_symbol
_atom_site_fract_x
_atom_site_fract_y
_atom_site_fract_z
Cs1 Cs 0.0000 0.0000 0.0000
Cs2 Cs 0.3333 0.6667 0.7242
Na1 Na 0.3333 0.6667 0.1473
Pu1 Pu 0.0000 0.0000 0.5000
Cl1 Cl 0.0000 0.5000 0.0000
Cl2 Cl 0.1578 0.3155 0.3449
```

Magnetic moment = 3.99 μB per formula unit
V = 33.822 A^3/atom
Crystal system = trigonal
Uncorrected energy = -0.1571 hartree per atom

2.
The following is a PBE calculation of an optimized crystal structure of Cs2Na2PuCl7, from Alexandria.

```
data_Cs2Na2PuCl7
_chemical_formula_sum 'Cs4 Na4 Pu2 Cl14'
_symmetry_space_group_name_H-M 'C 1 2/m 1'
_symmetry_Int_Tables_number 12
_cell_length_a 6.659
_cell_length_b 9.339
_cell_length_c 14.046
_cell_angle_alpha 90.00
_cell_angle_beta 100.36
_cell_angle_gamma 90.00
loop_
_symmetry_equiv_pos_as_xyz
'x,y,z'
'-x,-y,-z'
'-x,y,-z'
'x,-y,z'
'x+1/2,y+1/2,z'
'-x+1/2,-y+1/2,-z'
'-x+1/2,y+1/2,-z'
'x+1/2,-y+1/2,z'
loop_
_atom_site_label
_atom_site_type_symbol
_atom_site_fract_x
_atom_site_fract_y
_atom_site_fract_z
Cs1 Cs 0.200 0.000 0.369
Na1 Na 0.165 0.500 0.188
Pu1 Pu 0.000 0.000 0.000
Cl1 Cl 0.000 0.500 0.000
Cl2 Cl 0.006 0.181 0.852
Cl3 Cl 0.202 0.500 0.380
```

Magnetic moment = 5.00 μB per formula unit
V = 35.802 A^3/atom
Crystal system = monoclinic
Uncorrected energy = -0.1619 hartree per atom

3.
The following is a PBE calculation of an optimized crystal structure of CsNa2PuCl6, from Alexandria.

```
data_CsNa2PuCl6
_chemical_formula_sum 'Cs3 Na6 Pu3 Cl18'
_symmetry_space_group_name_H-M 'R 3'
_symmetry_Int_Tables_number 146
_symmetry_space_group_name_Hall 'R 3'
_cell_length_a 7.3527
_cell_length_b 7.3527
_cell_length_c 20.3030
_cell_angle_alpha 90.00
_cell_angle_beta 90.00
_cell_angle_gamma 120.00
loop_
_atom_site_label
_atom_site_type_symbol
_atom_site_fract_x
_atom_site_fract_y
_atom_site_fract_z
Cs1 Cs 0.0000 0.0000 0.0000
Na1 Na 0.0000 0.0000 0.2115
Na2 Na 0.0000 0.0000 0.7286
Pu1 Pu 0.0000 0.0000 0.5331
Cl1 Cl 0.0006 0.3255 0.4659
Cl2 Cl 0.1219 0.7679 0.2901
```

Magnetic moment = 5.00 μB per formula unit
V = 31.686 A^3/atom
Crystal system = trigonal
Uncorrected energy = -0.1755 hartree per atom

4.
The following is a PBE calculation of an optimized crystal structure of Cs2Rb3NaCl6, from Alexandria.

```
data_Cs2Rb3NaCl6
_chemical_formula_sum 'Cs4 Rb6 Na2 Cl12'
_symmetry_space_group_name_H-M 'C 1 2/m 1'
_symmetry_Int_Tables_number 12
_cell_length_a 8.218
_cell_length_b 14.241
_cell_length_c 8.152
_cell_angle_alpha 90.00
_cell_angle_beta 109.73
_cell_angle_gamma 90.00
loop_
_symmetry_equiv_pos_as_xyz
'x,y,z'
'-x,-y,-z'
'-x,y,-z'
'x,-y,z'
'x+1/2,y+1/2,z'
'-x+1/2,-y+1/2,-z'
'-x+1/2,y+1/2,-z'
'x+1/2,-y+1/2,z'
loop_
_atom_site_label
_atom_site_type_symbol
_atom_site_fract_x
_atom_site_fract_y
_atom_site_fract_z
Cs1 Cs 0.000 0.167 0.000
Rb1 Rb 0.000 0.000 0.500
Rb2 Rb 0.000 0.332 0.500
Na1 Na 0.000 0.500 0.000
Cl1 Cl 0.212 0.500 0.767
Cl2 Cl 0.237 0.347 0.251
```

Magnetic moment = 0.01 μB per formula unit
V = 37.418 A^3/atom
Crystal system = monoclinic
Uncorrected energy = -0.1216 hartree per atom

5.
The following is a PBE calculation of an optimized crystal structure of CsRbNa2Cl, from Alexandria.

```
data_CsRbNa2Cl
_chemical_formula_sum 'Cs1 Rb1 Na2 Cl1'
_symmetry_space_group_name_H-M 'P 4/m m m'
_symmetry_Int_Tables_number 123
_symmetry_space_group_name_Hall '-P 4 2'
_cell_length_a 6.422
_cell_length_b 6.422
_cell_length_c 6.515
_cell_angle_alpha 90.00
_cell_angle_beta 90.00
_cell_angle_gamma 90.00
loop_
_atom_site_label
_atom_site_type_symbol
_atom_site_fract_x
_atom_site_fract_y
_atom_site_fract_z
Cs1 Cs 0.000 0.000 0.000
Rb1 Rb 0.500 0.500 0.000
Na1 Na 0.000 0.500 0.500
Cl1 Cl 0.500 0.500 0.500
```

Magnetic moment = 0.00 μB per formula unit
V = 53.731 A^3/atom
Crystal system = tetragonal
Uncorrected energy = -0.0656 hartree per atom
Distance to the lowest polymorph of the same formula = 0.021 eV per atom

6.
The following is a PBE calculation of an optimized crystal structure of CsRbNa2Cl, from Alexandria.

```
data_CsRbNa2Cl
_chemical_formula_sum 'Cs1 Rb1 Na2 Cl1'
_symmetry_space_group_name_H-M 'P 4/m m m'
_symmetry_Int_Tables_number 123
_symmetry_space_group_name_Hall '-P 4 2'
_cell_length_a 6.277
_cell_length_b 6.277
_cell_length_c 6.813
_cell_angle_alpha 90.00
_cell_angle_beta 90.00
_cell_angle_gamma 90.00
loop_
_atom_site_label
_atom_site_type_symbol
_atom_site_fract_x
_atom_site_fract_y
_atom_site_fract_z
Cs1 Cs 0.000 0.000 0.000
Rb1 Rb 0.500 0.500 0.000
Na1 Na 0.000 0.500 0.500
Cl1 Cl 0.000 0.000 0.500
```

Magnetic moment = 0.00 μB per formula unit
V = 53.685 A^3/atom
Crystal system = tetragonal
Uncorrected energy = -0.0664 hartree per atom
Distance to the lowest polymorph of the same formula = 0.000 eV per atom